(1)
A relaxed PmNd2Er12 crystal, computed with PBE.

It has space group C2/m (No. 12), with a = 7.0924 Å, b = 11.1952 Å, c = 24.0834 Å, α = 90.00°, β = 94.07° and γ = 90.00°. Symmetry generates all atoms from Pm at (0.2496, 0.0000, 0.0000), Nd at (0.0703, 0.0000, 0.2805), Nd at (0.0709, 0.5000, 0.2814), Er at (0.0169, 0.2505, 0.0673), Er at (0.0325, 0.0000, 0.1357), Er at (0.0327, 0.5000, 0.1365), Er at (0.1116, 0.2508, 0.4450), Er at (0.1412, 0.0000, 0.5711), Er at (0.1427, 0.5000, 0.5703), Er at (0.1667, 0.2501, 0.6696) and Er at (0.2032, 0.2500, 0.8077).

The electronic total energy is -4.497 eV per atom. The value obtained for the formation energy is 0.11 eV/atom.

***

(2)
A relaxed PmPrNd6Er2 crystal, computed with PBE.

It has space group C2/c (No. 15), with a = 9.3630 Å, b = 15.2922 Å, c = 9.7700 Å, α = 90.00°, β = 97.58° and γ = 90.00°. Symmetry generates all atoms from Pm at (0.0000, 0.0315, 0.2500), Pr at (0.0000, 0.4065, 0.7500), Nd at (0.0664, 0.1752, 0.9441), Nd at (0.0954, 0.3915, 0.1193), Nd at (0.2110, 0.2261, 0.3183) and Er at (0.2456, 0.0480, 0.5482).

The electronic total energy is -4.614 eV per atom. The value obtained for the formation energy is 0.11 eV/atom.

***

(3)
A relaxed PmPr2Nd6Er3 crystal, computed with PBE.

It has space group C2/m (No. 12), with a = 6.3194 Å, b = 10.9500 Å, c = 12.0099 Å, α = 90.00°, β = 100.09° and γ = 90.00°. Symmetry generates all atoms from Pm at (0.0000, 0.0000, 0.0000), Pr at (0.0000, 0.3333, 0.0000), Nd at (0.2478, 0.0000, 0.7445), Nd at (0.2484, 0.3336, 0.7446), Er at (0.0000, 0.1667, 0.5000) and Er at (0.0000, 0.5000, 0.5000).

The electronic total energy is -4.700 eV per atom. The value obtained for the formation energy is 0.02 eV/atom.

***

(4)
A relaxed Pm3PrNd2Er6 crystal, computed with PBE.

It has space group C2/m (No. 12), with a = 6.2349 Å, b = 10.7966 Å, c = 11.7653 Å, α = 90.00°, β = 100.14° and γ = 90.00°. Symmetry generates all atoms from Pm at (0.0000, 0.0000, 0.0000), Pm at (0.0000, 0.3333, 0.0000), Pr at (0.0000, 0.5000, 0.5000), Nd at (0.0000, 0.1667, 0.5000), Er at (0.2493, 0.1667, 0.2489) and Er at (0.2504, 0.0000, 0.7511).

The electronic total energy is -4.648 eV per atom. The value obtained for the formation energy is 0.01 eV/atom.

***

(5)
A relaxed PmPr3NdEr crystal, computed with PBE.

It has space group P-1 (No. 2), with a = 5.9135 Å, b = 7.0883 Å, c = 9.9049 Å, α = 89.99°, β = 90.00° and γ = 89.97°. Symmetry generates all atoms from Pm at (0.2500, 0.0000, 0.2488), Pr at (0.2167, 0.7462, 0.5805), Pr at (0.2178, 0.2544, 0.9201), Pr at (0.2829, 0.2539, 0.5801), Nd at (0.2823, 0.7465, 0.9194) and Er at (0.2504, 0.4997, 0.2490).

The electronic total energy is -4.682 eV per atom. The value obtained for the formation energy is 0.05 eV/atom.

***

(6)
A relaxed Pm5Pr2NdEr crystal, computed with PBE.

It has space group I4/mcm (No. 140), with a = 8.8243 Å, b = 8.8243 Å, c = 16.1162 Å, α = 90.00°, β = 90.00° and γ = 90.00°. Symmetry generates all atoms from Pm at (0.0000, 0.0000, 0.0000), Pm at (0.2123, 0.2877, 0.1404), Pr at (0.1188, 0.3812, 0.5000), Nd at (0.0000, 0.0000, 0.2500) and Er at (0.0000, 0.5000, 0.2500).

The electronic total energy is -4.470 eV per atom. The value obtained for the formation energy is 0.27 eV/atom.

***

(7)
A relaxed Pm2Pr2Nd4Er crystal, computed with PBE.

It has space group C2/m (No. 12), with a = 19.1324 Å, b = 3.6944 Å, c = 9.8339 Å, α = 90.00°, β = 115.47° and γ = 90.00°. Symmetry generates all atoms from Pm at (0.1476, 0.0000, 0.1672), Pr at (0.1649, 0.5000, 0.4992), Nd at (0.0180, 0.5000, 0.8298), Nd at (0.1852, 0.0000, 0.8327) and Er at (0.0000, 0.0000, 0.5000).

The electronic total energy is -4.731 eV per atom. The value obtained for the formation energy is 0.01 eV/atom.

***

(8)
A relaxed Pm4PrNdEr2 crystal, computed with PBE.

It has space group P2/m (No. 10), with a = 6.2588 Å, b = 3.6321 Å, c = 12.0433 Å, α = 90.00°, β = 100.05° and γ = 90.00°. Symmetry generates all atoms from Pm at (0.2478, 0.0000, 0.2487), Pm at (0.2487, 0.5000, 0.7476), Pr at (0.5000, 0.0000, 0.0000), Nd at (0.5000, 0.5000, 0.5000), Er at (0.0000, 0.0000, 0.5000) and Er at (0.0000, 0.5000, 0.0000).

The electronic total energy is -4.692 eV per atom. The value obtained for the formation energy is 0.02 eV/atom.

***

(9)
A relaxed Pm2PrNd2Er crystal, computed with PBE.

It has space group Pmma (No. 51), with a = 7.1055 Å, b = 5.7666 Å, c = 9.9999 Å, α = 90.00°, β = 90.00° and γ = 90.00°. Symmetry generates all atoms from Pm at (0.2500, 0.0000, 0.1634), Pm at (0.2500, 0.5000, 0.6697), Pr at (0.0000, 0.0000, 0.5000), Nd at (0.0000, 0.5000, 0.0000), Nd at (0.2500, 0.0000, 0.8299) and Er at (0.2500, 0.5000, 0.3355).

The electronic total energy is -4.673 eV per atom. The value obtained for the formation energy is 0.06 eV/atom.

***

What is the electronic total energy in the seventh record? -4.731 eV per atom